! AcY2Pd (GGA-PBE, relaxed); values from VASP
&SYSTEM
  ibrav = 0, nat = 4, ntyp = 3
/
ATOMIC_SPECIES
Ac 227.00 Ac.upf
Y 88.91 Y.upf
Pd 106.42 Pd.upf
CELL_PARAMETERS angstrom
1.9979 1.1535 9.5506
-1.9979 1.1535 9.5506
0.0000 -2.3070 9.5506
ATOMIC_POSITIONS crystal
Ac 0.0000 0.0000 0.0000
Y 0.2237 0.2237 0.2237
Y 0.7763 0.7763 0.7763
Pd 0.5000 0.5000 0.5000
! SG: No. 166
! Crystal system: trigonal
! Formation energy from the elements: -29.4 kJ/mol of atoms
! Calculated density: 6.428 g/cm³
! DFT total energy: -23.4 eV/f.u.
! Excess energy over the best structure of this formula in the dataset: 128 meV per atom


! CeHo6Er2Tm3 (GGA-PBE, relaxed); values from VASP
&SYSTEM
  ibrav = 0, nat = 12, ntyp = 4
/
ATOMIC_SPECIES
Ce 140.12 Ce.upf
Ho 164.93 Ho.upf
Er 167.26 Er.upf
Tm 168.93 Tm.upf
CELL_PARAMETERS angstrom
3.0437 -5.2678 0.0000
3.0437 5.2678 0.0000
-2.0284 0.0000 11.4724
ATOMIC_POSITIONS crystal
Ce 0.0000 0.0000 0.0000
Ho 0.0840 0.4155 0.2508
Ho 0.2477 0.2477 0.7489
Ho 0.4155 0.0840 0.2508
Ho 0.5845 0.9160 0.7492
Ho 0.7523 0.7523 0.2511
Ho 0.9160 0.5845 0.7492
Er 0.3334 0.6666 0.0000
Er 0.6666 0.3334 0.0000
Tm 0.1674 0.8326 0.5000
Tm 0.5000 0.5000 0.5000
Tm 0.8326 0.1674 0.5000
! SG: No. 12
! Crystal system: monoclinic
! Formation energy from the elements: 3.7 kJ/mol of atoms
! Calculated density: 8.897 g/cm³
! DFT total energy: -55.5 eV/f.u.


Q: What is the formula in the first record?
A: AcY2Pd


Q: The highest formation energy from the elements belongs to which entry?
A: CeHo6Er2Tm3